Compound: K2PbCl
Source: Alexandria via LeMat-Bulk
Functional: GGA-PBE
Structure: optimized geometry

```
data_K2PbCl
_cell_length_a 3.874
_cell_length_b 3.874
_cell_length_c 10.588
_cell_angle_alpha 90.00
_cell_angle_beta 90.00
_cell_angle_gamma 90.00
_symmetry_space_group_name_H-M 'P 4 m m'
_symmetry_Int_Tables_number 99
_symmetry_space_group_name_Hall 'P 4 -2'
loop_
_atom_site_label
_atom_site_fract_x
_atom_site_fract_y
_atom_site_fract_z
_atom_site_occupancy
K1 0.000 0.000 0.000 1
K2 0.500 0.500 0.409 1
Pb1 0.000 0.000 0.656 1
Cl1 0.500 0.500 0.126 1
```

Compound: K4Pb2Cl9
Source: Alexandria via LeMat-Bulk
Functional: GGA-PBE
Structure: optimized geometry

```
data_K4Pb2Cl9
_cell_length_a 7.9685
_cell_length_b 7.9685
_cell_length_c 19.3374
_cell_angle_alpha 90.00
_cell_angle_beta 90.00
_cell_angle_gamma 120.00
_symmetry_space_group_name_H-M 'P -3'
_symmetry_Int_Tables_number 147
_symmetry_space_group_name_Hall '-P 3'
loop_
_atom_site_label
_atom_site_fract_x
_atom_site_fract_y
_atom_site_fract_z
_atom_site_occupancy
K1 0.3333 0.6667 0.0284 1
K2 0.3333 0.6667 0.3131 1
K3 0.3333 0.6667 0.5287 1
K4 0.3333 0.6667 0.8131 1
Pb1 0.0000 0.0000 0.1471 1
Pb2 0.0000 0.0000 0.3521 1
Cl1 0.0010 0.2740 0.7493 1
Cl2 0.0449 0.7119 0.9176 1
Cl3 0.0458 0.3319 0.4177 1
```

Compound: K2PbCl
Source: Alexandria via LeMat-Bulk
Functional: GGA-PBE
Structure: optimized geometry

```
data_K2PbCl
_cell_length_a 4.790
_cell_length_b 4.790
_cell_length_c 14.033
_cell_angle_alpha 90.00
_cell_angle_beta 90.00
_cell_angle_gamma 90.00
_symmetry_space_group_name_H-M 'I -4 m 2'
_symmetry_Int_Tables_number 119
_symmetry_space_group_name_Hall 'I -4 -2'
loop_
_atom_site_label
_atom_site_fract_x
_atom_site_fract_y
_atom_site_fract_z
_atom_site_occupancy
K1 0.000 0.000 0.000 1
K2 0.000 0.500 0.250 1
Pb1 0.000 0.500 0.750 1
Cl1 0.000 0.000 0.500 1
```

| no. | calculated total energy (eV/cell) | magnetization (μB/cell) |
| --- | --- | --- |
| 1 | -11.036 | 0.000 |
| 2 | -103.589 | 0.000 |
| 3 | -19.833 | 1.584 |